(1)
Material: BaPuS2
Method: DFT, GGA-PBE
State: optimized geometry

a = 4.1941 Å, b = 4.1941 Å, c = 7.5203 Å
α = 73.81°, β = 73.81°, γ = 60.00°
Element x y z (fractional)
S1 0.2627 0.2627 0.2120
S2 0.7373 0.7373 0.7880
Ba1 0.5000 0.5000 0.5000
Pu1 0.0000 0.0000 0.0000

Properties
- distance to the lowest polymorph of the same formula (meV per atom) = 0.0


(2)
Material: BaPuS3
Method: DFT, GGA-PBE
State: optimized geometry

a = 4.2707 Å, b = 6.6660 Å, c = 9.2151 Å
α = 90.00°, β = 90.00°, γ = 90.00°
Element x y z (fractional)
Ba1 0.7500 0.2500 0.1389
Ba2 0.2500 0.7500 0.8611
Pu1 0.7500 0.7500 0.3959
Pu2 0.2500 0.2500 0.6041
S1 0.7500 0.7500 0.1045
S2 0.2500 0.2500 0.8955
S3 0.7500 0.9939 0.6422
S4 0.7500 0.5061 0.6422
S5 0.2500 0.0061 0.3578
S6 0.2500 0.4939 0.3578

Properties
- uncorrected energy (eV per cell) = -74.11


(3)
Material: BaPu4S6
Method: DFT, GGA-PBE
State: optimized geometry

a = 4.0507 Å, b = 6.9270 Å, c = 20.5586 Å
α = 90.00°, β = 90.00°, γ = 107.00°
Element x y z (fractional)
Ba1 0.6583 0.3166 0.2500
Ba2 0.3417 0.6834 0.7500
Pu1 0.8645 0.7290 0.5403
Pu2 0.4028 0.8055 0.1272
Pu3 0.1355 0.2710 0.4597
Pu4 0.5972 0.1945 0.8728
Pu5 0.8645 0.7290 0.9597
Pu6 0.1355 0.2710 0.0403
Pu7 0.5972 0.1945 0.6272
Pu8 0.4028 0.8055 0.3728
S1 0.5000 0.0000 0.0000
S2 0.5000 0.0000 0.5000
S3 0.0357 0.0714 0.3429
S4 0.9643 0.9286 0.6571
S5 0.9643 0.9286 0.8429
S6 0.0357 0.0714 0.1571
S7 0.7678 0.5357 0.4174
S8 0.2322 0.4643 0.5826
S9 0.2322 0.4643 0.9174
S10 0.7678 0.5357 0.0826
S11 0.3351 0.6702 0.2500
S12 0.6649 0.3298 0.7500

Properties
- uncorrected energy (eV per cell) = -206.30


(4)
Material: BaPuS2
Method: DFT, GGA-PBE
State: optimized geometry

a = 4.1406 Å, b = 4.1406 Å, c = 7.7450 Å
α = 74.50°, β = 74.50°, γ = 60.00°
Element x y z (fractional)
Ba1 0.4968 0.4968 0.5095
Pu1 0.6689 0.6689 0.9932
S1 0.0712 0.0712 0.7864
S2 0.2630 0.2630 0.2110

Properties
- distance to the lowest polymorph of the same formula (meV per atom) = 77.1


(5)
Material: BaPu3S6
Method: DFT, GGA-PBE
State: optimized geometry

a = 4.1287 Å, b = 11.9853 Å, c = 11.8410 Å
α = 111.10°, β = 90.00°, γ = 90.00°
Element x y z (fractional)
Ba1 0.7500 0.6388 0.8935
Ba2 0.2500 0.3612 0.1065
Pu1 0.7500 0.3536 0.4718
Pu2 0.2500 0.6464 0.5282
Pu3 0.7500 0.7262 0.2702
Pu4 0.2500 0.2738 0.7298
Pu5 0.7500 0.9661 0.8441
Pu6 0.2500 0.0339 0.1559
S1 0.7500 0.1926 0.5779
S2 0.2500 0.8074 0.4221
S3 0.7500 0.1371 0.0681
S4 0.2500 0.8629 0.9319
S5 0.7500 0.7431 0.6747
S6 0.2500 0.2569 0.3253
S7 0.7500 0.5306 0.3628
S8 0.2500 0.4694 0.6372
S9 0.7500 0.3679 0.8924
S10 0.2500 0.6321 0.1076
S11 0.7500 0.9303 0.2221
S12 0.2500 0.0697 0.7779

Properties
- uncorrected energy (eV per cell) = -172.03


(6)
Material: Ba2PuScS6
Method: DFT, GGA-PBE
State: optimized geometry

a = 7.1204 Å, b = 7.2426 Å, c = 10.1455 Å
α = 90.00°, β = 89.86°, γ = 90.00°
Element x y z (fractional)
Ba1 0.0111 0.9518 0.2512
Ba2 0.5111 0.5482 0.7512
Ba3 0.9889 0.0482 0.7488
Ba4 0.4889 0.4518 0.2488
Pu1 0.5000 0.0000 0.5000
Pu2 0.0000 0.5000 0.0000
Sc1 0.5000 0.0000 0.0000
Sc2 0.0000 0.5000 0.5000
S1 0.2898 0.7130 0.0354
S2 0.7898 0.7870 0.5354
S3 0.7102 0.2870 0.9646
S4 0.2102 0.2130 0.4646
S5 0.2873 0.7102 0.4652
S6 0.7873 0.7898 0.9652
S7 0.7127 0.2898 0.5348
S8 0.2127 0.2102 0.0348
S9 0.9336 0.5087 0.2516
S10 0.4336 0.9913 0.7516
S11 0.0664 0.4913 0.7484
S12 0.5664 0.0087 0.2484

Properties
- uncorrected energy (eV per cell) = -133.37


Number 1: theoretical density 6.82 g cm⁻³. Number 2: theoretical density 6.05 g cm⁻³. Number 3: theoretical density 7.86 g cm⁻³. Number 4: theoretical density 6.76 g cm⁻³. Number 5: theoretical density 6.45 g cm⁻³. Number 6: theoretical density 4.80 g cm⁻³.